1.
BaCdS2Cl | the Alexandria database | GGA-PBEsol | optimized geometry; density = 2.998 Mg/m³; uncorrected energy = -2.885 eV per atom; crystal system = tetragonal; energy relative to the elements, uncorrected = -61 meV per atom; space group = P4/mmm
1.0
-3.852 3.418 2.477
-4.278 -3.486 -1.844
0.408 -3.098 4.909
Ba S Cd Cl
1 2 1 1
Direct
0.000 0.000 0.000
0.000 0.500 0.000
0.000 0.000 0.500
0.500 0.500 0.500
0.500 0.000 0.000

2.
BaLa3In | the Alexandria database | GGA-PBEsol | optimized geometry; density = 5.762 Mg/m³; uncorrected energy = -3.536 eV per atom; crystal system = cubic; space group = Pm-3m
1.0
-1.688 1.984 -5.156
3.137 -4.094 -2.602
-4.548 -3.560 0.119
La In Ba
3 1 1
Direct
0.500 0.000 0.000
0.000 0.500 0.000
0.000 0.000 0.500
0.500 0.500 0.500
0.000 0.000 0.000

3.
CaNiAg2 | the Alexandria database | GGA-PBEsol | optimized geometry; density = 7.316 Mg/m³; uncorrected energy = -3.319 eV per atom; crystal system = trigonal; space group = R-3m
1.0
-1.639 -0.075 -2.536
1.373 -0.250 -2.679
-0.586 -9.109 -1.153
Ag Ca Ni
2 1 1
Direct
0.260 0.260 0.219
0.740 0.740 0.781
0.500 0.500 0.500
0.000 0.000 0.000

4.
MgZn2W | the Alexandria database | GGA-PBEsol | optimized geometry; density = 9.209 Mg/m³; uncorrected energy = -4.421 eV per atom; crystal system = orthorhombic; space group = Amm2
1.0
2.778 0.000 0.000
0.000 4.302 0.000
-1.389 0.000 5.114
Mg W Zn
1 1 2
Direct
0.070 0.000 0.140
0.416 0.500 0.833
0.821 0.000 0.642
0.677 0.500 0.354

5.
CoIrRu2 | the Alexandria database | GGA-PBEsol | optimized geometry; density = 14.715 Mg/m³; uncorrected energy = -9.378 eV per atom; crystal system = orthorhombic; space group = Cmmm
1.0
2.632 0.000 0.000
0.000 4.552 -0.008
0.000 -1.574 4.271
Co Ru Ir
1 2 1
Direct
0.500 0.500 0.500
0.000 0.000 0.500
0.000 0.500 0.000
0.500 0.000 0.000

6.
YSi3Mo | the Alexandria database | GGA-PBEsol | optimized geometry; density = 4.434 Mg/m³; uncorrected energy = -7.081 eV per atom; crystal system = cubic; energy relative to the elements, uncorrected = 85 meV per atom; space group = Pm-3m
1.0
-4.516 0.740 -0.847
-0.432 -4.376 -1.523
-1.039 -1.399 4.315
Si Mo Y
3 1 1
Direct
0.000 0.500 0.000
0.500 0.000 0.000
0.000 0.000 0.500
0.000 0.000 0.000
0.500 0.500 0.500